Crystalline GeTe4Pb3 at its relaxed geometry, computed with PBE.

POSCAR file:
```
GeTe4Pb3
1.0
-3.377 -5.393 4.668
7.831 -0.839 0.253
0.398 5.827 7.021
Te Ge Pb
8 2 6
direct
0.987 0.238 0.636
0.513 0.762 0.636
0.013 0.762 0.364
0.504 0.234 0.883
0.996 0.766 0.883
0.487 0.238 0.364
0.496 0.766 0.117
0.004 0.234 0.117
0.250 0.000 0.143
0.750 0.000 0.857
0.250 0.500 0.874
0.250 0.000 0.631
0.750 0.000 0.369
0.750 0.500 0.642
0.250 0.500 0.358
0.750 0.500 0.126
```

Results
SG: No. 13
energy relative to the lowest polymorph listed for this composition: 0.0 kJ/mol of atoms
spin magnetization: 0.000 μB/cell